An optimized crystal structure of Hf2NbCrP, computed with PBE-GGA.

Output
For the formation energy, the calculation gives 1375.9 meV per atom. For the total energy, the calculation gives -7.626 eV/atom. For the spin magnetization, the calculation gives 0.11 μB/cell. Its calculated volume is 23.53 Å³ per atom.

Structure (POSCAR):
```
Hf2NbCrP
1.0
-2.436 -3.288 -2.944
-1.128 -2.503 3.729
-4.239 2.678 0.516
Cr Nb P Hf
1 1 1 2
Direct
0.500 0.500 0.500
0.000 0.000 0.000
0.000 0.500 0.000
0.000 0.000 0.500
0.500 0.000 0.000
```

=====

An optimized crystal structure of HfPaNbCr, computed with PBE-GGA.

Output
For the formation energy, the calculation gives 140.0 meV per atom. For the total energy, the calculation gives -9.646 eV/atom. For the spin magnetization, the calculation gives 0.75 μB/cell. Its calculated volume is 19.25 Å³ per atom.

Structure (POSCAR):
```
HfPaNbCr
1.0
4.775 0.000 0.000
2.388 4.136 0.000
2.388 1.379 3.899
Nb Cr Pa Hf
1 1 1 1
Direct
0.250 0.250 0.250
0.750 0.750 0.750
0.000 0.000 0.000
0.500 0.500 0.500
```

=====

An optimized crystal structure of HfNbCrRe, computed with PBE-GGA.

Output
For the formation energy, the calculation gives -119.9 meV per atom. For the total energy, the calculation gives -10.644 eV/atom. For the spin magnetization, the calculation gives 0.03 μB/cell. Its calculated volume is 16.43 Å³ per atom.

Structure (POSCAR):
```
HfNbCrRe
1.0
-0.510 -3.535 2.786
2.457 -3.753 -0.629
3.288 -1.072 2.925
Hf Nb Re Cr
1 1 1 1
Direct
0.500 0.500 0.500
0.000 0.000 0.000
0.750 0.750 0.750
0.250 0.250 0.250
```

=====

An optimized crystal structure of HfNb2CrSe, computed with PBE-GGA.

Output
The formation energy from raw total energies comes out at 1.696 eV/atom. For the total energy, the calculation gives -6.944 eV/atom. For the spin magnetization, the calculation gives 0.00 μB/cell. Its calculated volume is 22.46 Å³ per atom.

Structure (POSCAR):
```
HfNb2CrSe
1.0
-2.619 -3.590 -2.338
3.797 -1.830 -1.443
0.203 -2.841 4.135
Hf Nb Se Cr
1 2 1 1
Direct
0.000 0.000 0.000
0.500 0.000 0.000
0.000 0.000 0.500
0.500 0.500 0.500
0.000 0.500 0.000
```